# 1
Material: LaGdCoPd
Method: DFT, GGA-PBE
State: optimized geometry

Energy relative to the elements   -378.6 meV/atom
Size of the total moment   26.80 μB per cell
Density of states at the Fermi level   2.92 states/eV/f.u.

abc: 7.0711 7.0711 7.0711
angles: 90.00 90.00 90.00
With the nearest neighbours (Å) after each atom.
Space group F-43m (No. 216)
Asymmetric unit:
La (0.0000, 0.0000, 0.0000) x4  4 Pd 3.06, 4 Co 3.06
Gd (0.0000, 0.0000, 0.5000) x4  4 Co 3.06, 4 Pd 3.06
Co (0.2500, 0.2500, 0.2500) x4  4 Gd 3.06, 4 La 3.06
Pd (0.2500, 0.2500, 0.7500) x4  4 Gd 3.06, 4 La 3.06

# 2
Material: LaGdCoRu
Method: DFT, GGA-PBE
State: optimized geometry

Energy relative to the elements   -78.1 meV/atom
Size of the total moment   25.25 μB per cell
Density of states at the Fermi level   4.07 states/eV/f.u.

abc: 6.9552 6.9552 6.9552
angles: 90.00 90.00 90.00
With the nearest neighbours (Å) after each atom.
Space group F-43m (No. 216)
Asymmetric unit:
La (0.0000, 0.0000, 0.0000) x4  4 Co 3.01, 4 Ru 3.01
Gd (0.0000, 0.0000, 0.5000) x4  4 Ru 3.01, 4 Co 3.01
Co (0.2500, 0.2500, 0.7500) x4  4 Gd 3.01, 4 La 3.01
Ru (0.2500, 0.2500, 0.2500) x4  4 Gd 3.01, 4 La 3.01

# 3
Material: LiGd2Co
Method: DFT, GGA-PBE
State: optimized geometry

Energy relative to the elements   -3.5 meV/atom
Size of the total moment   43.23 μB per cell
Density of states at the Fermi level   2.56 states/eV/f.u.

abc: 3.8174 3.8174 25.5545
angles: 90.00 90.00 120.00
With the nearest neighbours (Å) after each atom.
Space group R-3m (No. 166, hexagonal axes)
Asymmetric unit:
Li (0.0000, 0.0000, 0.0000) x3  6 Gd 3.53, 6 Li 3.82
Gd (0.0000, 0.0000, 0.2253) x6  3 Co 2.66
Co (0.0000, 0.0000, 0.5000) x3  6 Gd 2.66

# 4
Material: LiGd2Co
Method: DFT, GGA-PBE
State: optimized geometry

Energy relative to the elements   -46.7 meV/atom
Size of the total moment   13.60 μB per cell
Density of states at the Fermi level   3.75 states/eV/f.u.

abc: 3.4007 3.4007 8.0934
angles: 90.00 90.00 90.00
With the nearest neighbours (Å) after each atom.
Space group P4/mmm (No. 123)
Asymmetric unit:
Li (0.0000, 0.0000, 0.0000) x1  4 Li 3.40, 8 Gd 3.41
Gd (0.5000, 0.5000, 0.2981) x2  4 Co 2.91
Co (0.0000, 0.0000, 0.5000) x1  8 Gd 2.91

For each record above, in turn, the calculated total energy values are -8.21; -8.93; -9.30; -9.34 eV/atom.